Record 1
## Ac2DyCdSe5 (GGA-PBE)

Data for crystalline Ac2DyCdSe5 at its relaxed geometry.

## Properties
The total energy is -5.108 eV per atom. The density of states at the Fermi level is 0.16 states/eV per atom. As for the space-group type: No. 36. As for the formation energy without anion corrections: -159 kJ/mol of atoms.

Lattice parameters (Å, degrees): 9.366 9.366 12.973 90.00 90.00 153.76
Atoms (fractional coordinates):
Ac: 0.117 0.883 0.500
Ac: 0.134 0.866 0.123
Ac: 0.866 0.134 0.623
Ac: 0.883 0.117 0.000
Dy: 0.201 0.799 0.825
Dy: 0.799 0.201 0.325
Cd: 0.457 0.543 0.267
Cd: 0.543 0.457 0.767
Se: 0.048 0.952 0.883
Se: 0.289 0.711 0.477
Se: 0.311 0.689 0.171
Se: 0.357 0.643 0.815
Se: 0.494 0.506 0.581
Se: 0.506 0.494 0.081
Se: 0.643 0.357 0.315
Se: 0.689 0.311 0.671
Se: 0.711 0.289 0.977
Se: 0.952 0.048 0.383


Record 2
## BaAgPb2 (GGA-PBE)

Data for crystalline BaAgPb2 at its relaxed geometry.

## Properties
The total energy is -3.238 eV per atom. The density of states at the Fermi level is 0.92 states/eV per atom. The calculation puts the formation energy at -0.190 eV per atom. As for the space-group type: No. 216. As for the energy relative to the lowest polymorph listed for this composition: 143.3 meV/atom.

Lattice parameters (Å, degrees): 5.649 5.649 5.649 60.00 60.00 60.00
Atoms (fractional coordinates):
Ba: 0.000 0.000 0.000
Ag: 0.750 0.750 0.750
Pb: 0.250 0.250 0.250
Pb: 0.500 0.500 0.500